Model one:
First-principles (GGA-PBE) data for an optimized crystal structure of Be3FeBi, as listed in the Alexandria database.

abc: 4.710 4.710 4.710
angles: 90.00 90.00 90.00
Each line ends with the local moment (μB).
Sites, in units of the cell vectors:
Be 0.000 0.500 0.000  -0.05
Be 0.000 0.000 0.500  -0.04
Be 0.500 0.000 0.000  -0.03
Bi 0.000 0.000 0.000  0.00
Fe 0.500 0.500 0.500  3.25

Properties
Spin magnetization (μB per atom): 0.609
Crystal system: cubic

***

Model two:
First-principles (GGA-PBE) data for an optimized crystal structure of Be3FeBi, as listed in the Alexandria database.

abc: 4.159 4.159 4.159
angles: 90.00 90.00 90.00
Sites, in units of the cell vectors:
Be 0.000 0.500 0.000
Be 0.000 0.000 0.500
Be 0.500 0.000 0.000
Bi 0.500 0.500 0.500
Fe 0.000 0.000 0.000

Properties
Spin magnetization (μB per atom): 0.000
Crystal system: cubic

***

Ordering by calculated energy gives the sequence model two, model one, with the first entry being the most stable.